4
Lattice="2.280 1.316 6.729 -2.280 1.316 6.729 0.000 -2.633 6.729" Properties=species:S:1:pos:R:3 comment="PBE CaSeCl2, optimized geometry" n_ef_per_ev_cell=1.021 space_group=R3m final_energy_ev_per_atom=-3.27 relative_energy_ev_per_fu=1.71 pbc="T T T"
Ca 0.000 0.000 0.000
Se 0.000 0.000 5.007
Cl 0.000 0.000 10.733
Cl 0.000 0.000 14.502

***

4
Lattice="4.621 0.000 0.000 0.000 4.621 0.000 0.000 0.000 4.257" Properties=species:S:1:pos:R:3 comment="PBE CaSeCl2, optimized geometry" n_ef_per_ev_cell=3.075 space_group=P4/mmm final_energy_ev_per_atom=-3.29 relative_energy_ev_per_fu=1.67 pbc="T T T"
Ca 0.000 0.000 0.000
Se 2.310 2.310 0.000
Cl 0.000 2.310 2.128
Cl 2.310 0.000 2.128